(1)
Crystalline Tl12H5S3 at its relaxed geometry, computed with PBE-GGA.

```
Tl12H5S3
1.0
-8.046 8.046 8.046
8.046 -8.046 8.046
8.046 8.046 -8.046
Tl H S
48 20 12
direct
0.025 0.206 0.118
0.025 0.319 0.907
0.088 0.706 0.681
0.088 0.882 0.407
0.093 0.618 0.412
0.093 0.975 0.681
0.118 0.025 0.206
0.118 0.593 0.912
0.181 0.206 0.588
0.181 0.475 0.593
0.206 0.118 0.025
0.206 0.588 0.181
0.294 0.319 0.912
0.294 0.475 0.382
0.319 0.907 0.025
0.319 0.912 0.294
0.382 0.294 0.475
0.382 0.588 0.907
0.407 0.088 0.882
0.407 0.819 0.525
0.412 0.093 0.618
0.412 0.819 0.794
0.475 0.382 0.294
0.475 0.593 0.181
0.525 0.407 0.819
0.525 0.618 0.706
0.588 0.181 0.206
0.588 0.907 0.382
0.593 0.181 0.475
0.593 0.912 0.118
0.618 0.412 0.093
0.618 0.706 0.525
0.681 0.088 0.706
0.681 0.093 0.975
0.706 0.525 0.618
0.706 0.681 0.088
0.794 0.412 0.819
0.794 0.882 0.975
0.819 0.525 0.407
0.819 0.794 0.412
0.882 0.407 0.088
0.882 0.975 0.794
0.907 0.025 0.319
0.907 0.382 0.588
0.912 0.118 0.593
0.912 0.294 0.319
0.975 0.681 0.093
0.975 0.794 0.882
0.000 0.000 0.000
0.000 0.000 0.500
0.000 0.500 0.000
0.000 0.500 0.500
0.125 0.750 0.875
0.125 0.875 0.250
0.250 0.125 0.875
0.250 0.625 0.375
0.375 0.250 0.625
0.375 0.625 0.750
0.500 0.000 0.000
0.500 0.000 0.500
0.500 0.500 0.000
0.500 0.500 0.500
0.625 0.375 0.250
0.625 0.750 0.375
0.750 0.375 0.625
0.750 0.875 0.125
0.875 0.125 0.750
0.875 0.250 0.125
0.125 0.250 0.375
0.125 0.375 0.750
0.250 0.375 0.125
0.250 0.875 0.625
0.375 0.125 0.250
0.375 0.750 0.125
0.625 0.250 0.875
0.625 0.875 0.750
0.750 0.125 0.375
0.750 0.625 0.875
0.875 0.625 0.250
0.875 0.750 0.625
```

Results
**Electronic total energy**: -2.75 eV per atom
**ρ**: 8141 kg/m³

(2)
Crystalline TlH2S at its relaxed geometry, computed with PBE-GGA.

```
TlH2S
1.0
3.920 0.000 0.000
0.073 3.921 0.000
1.578 1.728 6.180
Tl H S
1 2 1
direct
0.000 0.000 0.000
0.041 0.091 0.458
0.906 0.959 0.542
0.500 0.500 0.000
```

Results
**Electronic total energy**: -3.33 eV per atom
**ΔE to the lowest computed polymorph**: 0 meV/atom
**ρ**: 4168 kg/m³

(3)
Crystalline TlHS3 at its relaxed geometry, computed with PBE-GGA.

```
TlHS3
1.0
5.300 0.000 0.000
0.000 5.300 0.000
0.000 0.000 5.300
Tl H S
1 1 3
direct
0.000 0.000 0.000
0.500 0.500 0.500
0.000 0.000 0.500
0.000 0.500 0.000
0.500 0.000 0.000
```

Results
**Electronic total energy**: -2.32 eV per atom
**ΔE to the lowest computed polymorph**: 429 meV/atom
**ρ**: 3365 kg/m³

(4)
Crystalline TlH2S at its relaxed geometry, computed with PBE-GGA.

```
TlH2S
1.0
3.931 0.000 0.000
0.019 4.374 0.000
0.043 0.001 4.379
Tl H S
1 2 1
direct
0.000 0.000 0.000
0.349 0.497 0.494
0.502 0.000 0.001
0.006 0.501 0.502
```

Results
**Electronic total energy**: -3.29 eV per atom
**ΔE to the lowest computed polymorph**: 37 meV/atom
**ρ**: 5259 kg/m³

(5)
Crystalline TlHS2 at its relaxed geometry, computed with PBE-GGA.

```
TlHS2
1.0
0.000 3.299 3.299
3.299 0.000 3.299
3.299 3.299 0.000
Tl H S
1 1 2
direct
0.000 0.000 0.000
0.500 0.500 0.500
0.250 0.250 0.250
0.750 0.750 0.750
```

Results
**Electronic total energy**: -2.59 eV per atom
**ΔE to the lowest computed polymorph**: 978 meV/atom
**ρ**: 6231 kg/m³

(6)
Crystalline Tl7H12S at its relaxed geometry, computed with PBE-GGA.

```
Tl7H12S
1.0
6.448 3.723 2.275
-6.448 3.723 2.275
0.000 -7.445 2.275
Tl H S
7 12 1
direct
0.000 0.000 0.000
0.161 0.275 0.599
0.275 0.599 0.161
0.401 0.839 0.725
0.599 0.161 0.275
0.725 0.401 0.839
0.839 0.725 0.401
0.115 0.857 0.692
0.143 0.308 0.885
0.232 0.730 0.401
0.270 0.599 0.768
0.308 0.885 0.143
0.401 0.232 0.730
0.599 0.768 0.270
0.692 0.115 0.857
0.730 0.401 0.232
0.768 0.270 0.599
0.857 0.692 0.115
0.885 0.143 0.308
0.500 0.500 0.500
```

Results
**Electronic total energy**: -2.59 eV per atom
**ρ**: 7476 kg/m³

(7)
Crystalline TlHS2 at its relaxed geometry, computed with PBE-GGA.

```
TlHS2
1.0
7.240 0.000 0.000
0.000 6.986 0.000
-1.432 0.000 7.637
Tl H S
4 4 8
direct
0.206 0.184 0.326
0.206 0.316 0.826
0.794 0.684 0.174
0.794 0.816 0.674
0.243 0.748 0.254
0.243 0.752 0.754
0.757 0.248 0.246
0.757 0.252 0.746
0.121 0.639 0.646
0.121 0.861 0.146
0.363 0.108 0.633
0.363 0.392 0.133
0.637 0.608 0.867
0.637 0.892 0.367
0.879 0.139 0.854
0.879 0.361 0.354
```

Results
**Electronic total energy**: -3.57 eV per atom
**ΔE to the lowest computed polymorph**: 0 meV/atom
**ρ**: 4635 kg/m³

(8)
Crystalline TlHS2 at its relaxed geometry, computed with PBE-GGA.

```
TlHS2
1.0
-2.686 2.686 5.321
2.686 -2.686 5.321
2.686 2.686 -5.321
Tl H S
2 2 4
direct
0.000 0.000 0.000
0.750 0.250 0.500
0.250 0.750 0.500
0.500 0.500 0.000
0.201 0.625 0.076
0.375 0.451 0.576
0.549 0.125 0.924
0.875 0.799 0.424
```

Results
**Electronic total energy**: -3.22 eV per atom
**ΔE to the lowest computed polymorph**: 347 meV/atom
**ρ**: 5830 kg/m³

(9)
Crystalline Tl2HS2 at its relaxed geometry, computed with PBE-GGA.

```
Tl2HS2
1.0
7.486 0.000 0.000
0.000 7.486 0.000
0.000 0.000 3.786
Tl H S
4 2 4
direct
0.172 0.328 0.000
0.328 0.828 0.000
0.672 0.172 0.000
0.828 0.672 0.000
0.000 0.000 0.000
0.500 0.500 0.000
0.144 0.644 0.500
0.356 0.144 0.500
0.644 0.856 0.500
0.856 0.356 0.500
```

Results
**Electronic total energy**: -2.90 eV per atom
**ΔE to the lowest computed polymorph**: 106 meV/atom
**ρ**: 7417 kg/m³

(10)
Crystalline TlH3S2 at its relaxed geometry, computed with PBE-GGA.

```
TlH3S2
1.0
5.154 0.000 0.000
2.491 6.959 0.000
1.962 2.446 7.406
Tl H S
2 6 4
direct
0.009 0.099 0.213
0.991 0.901 0.787
0.248 0.457 0.501
0.371 0.604 0.112
0.422 0.247 0.710
0.578 0.753 0.290
0.629 0.396 0.888
0.752 0.543 0.499
0.358 0.254 0.550
0.412 0.790 0.034
0.588 0.210 0.966
0.642 0.746 0.450
```

Results
**Electronic total energy**: -3.65 eV per atom
**ρ**: 3395 kg/m³